1.
Below is NaAc2Pm after structural relaxation, with properties calculated at the PBE level.

## Properties
Energy above the most stable polymorph in this dataset (meV/atom): 62.0
ΔH_f (0 K) (eV per atom): 0.14

Unit cell a=3.8327 b=3.8327 c=40.4283 alpha=90.00 beta=90.00 gamma=120.00
Space group R-3m (No. 166, hexagonal axes)
Inequivalent atoms, fractional coordinates:
Na (0.0000, 0.0000, 0.0000) [3 per cell]
Ac (0.0000, 0.0000, 0.0916) [6 per cell]
Pm (0.0000, 0.0000, 0.5000) [3 per cell]

2.
Below is NaAcPm after structural relaxation, with properties calculated at the PBE level.

## Properties
Energy above the most stable polymorph in this dataset (meV/atom): 73.2
ΔH_f (0 K) (eV per atom): 0.14

Unit cell a=3.761 b=3.761 c=16.681 alpha=90.00 beta=90.00 gamma=90.00
Space group I4mm (No. 107)
Inequivalent atoms, fractional coordinates:
Na (0.000, 0.000, 0.000) [2 per cell]
Ac (0.000, 0.000, 0.678) [2 per cell]
Pm (0.000, 0.000, 0.336) [2 per cell]

3.
Below is NaAcPm after structural relaxation, with properties calculated at the PBE level.

## Properties
Energy above the most stable polymorph in this dataset (meV/atom): 61.5
ΔH_f (0 K) (eV per atom): 0.12

Unit cell a=5.8787 b=5.8787 c=7.6699 alpha=90.00 beta=90.00 gamma=120.00
Space group P6/mmm (No. 191)
Inequivalent atoms, fractional coordinates:
Na (0.3333, 0.6667, 0.0000) [2 per cell]
Ac (0.0000, 0.0000, 0.2607) [2 per cell]
Pm (0.3333, 0.6667, 0.5000) [2 per cell]

4.
Below is NaAcPm after structural relaxation, with properties calculated at the PBE level.

## Properties
Energy above the most stable polymorph in this dataset (meV/atom): 60.7
ΔH_f (0 K) (eV per atom): 0.12

Unit cell a=3.8039 b=3.8039 c=9.4829 alpha=90.00 beta=90.00 gamma=120.00
Space group P3m1 (No. 156)
Inequivalent atoms, fractional coordinates:
Na (0.0000, 0.0000, 0.0000) [1 per cell]
Ac (0.6667, 0.3333, 0.3529) [1 per cell]
Pm (0.3333, 0.6667, 0.6669) [1 per cell]

What is the energy above the most stable polymorph in this dataset in the third record?
61.5 meV/atom

The lowest energy above the most stable polymorph in this dataset belongs to which entry?
number 4

Which value of energy above the most stable polymorph in this dataset does entry 4 give?
60.7 meV/atom

Which value of energy above the most stable polymorph in this dataset does entry 1 give?
62.0 meV/atom